(1)
Below is a geometry-optimized Co2Si2Ni structure, with properties calculated at the PBE level. Values from VASP.

Calculated values
Final energy ... -6.60 eV per atom
Space group ... Pmma, No. 51

```
&SYSTEM
  ibrav = 0, nat = 10, ntyp = 3
/
ATOMIC_SPECIES
Co 58.93 Co.upf
Ni 58.69 Ni.upf
Si 28.09 Si.upf
ATOMIC_POSITIONS angstrom
Co -3.3067 1.4916 0.7689
Co -4.7335 3.3454 -0.0027
Co -3.7378 1.7576 -1.6012
Co -2.7421 0.1698 -3.1997
Ni -0.4312 0.2660 -2.3701
Si -2.3945 0.0226 -0.8011
Si -5.0811 3.4926 -2.4013
Si -1.9951 2.3144 -3.0949
Si -2.4965 3.3732 -0.4065
Ni 0.0000 0.0000 0.0000
CELL_PARAMETERS angstrom
-0.8623 0.5319 -4.7402
-2.9840 -2.1724 0.2991
-3.6293 5.1557 1.2388
```

(2)
Below is a geometry-optimized H2Os3C10O10 structure, with properties calculated at the PBE level. Values from VASP.

Calculated values
Final energy ... -7.87 eV per atom
Space group ... P-1, No. 2

```
&SYSTEM
  ibrav = 0, nat = 50, ntyp = 4
/
ATOMIC_SPECIES
H 1.01 H.upf
C 12.01 C.upf
O 16.00 O.upf
Os 190.23 Os.upf
ATOMIC_POSITIONS angstrom
H 1.5506 2.9952 4.3113
C 1.5340 6.3099 6.5597
O -0.5927 6.0172 4.1403
O 0.4710 -0.3430 5.4599
H 0.9458 3.6132 6.8738
C 0.9594 4.9025 1.1619
C 2.3491 1.3261 7.5645
C 2.9465 4.9682 3.1967
Os 0.7351 5.1676 7.8470
O 3.0890 0.5912 7.0448
Os 3.2830 4.4160 8.8376
C -2.0808 3.4267 1.6964
O -1.9113 7.0179 1.3533
O 0.7225 5.4083 0.1425
O 2.0253 6.9514 5.7252
O -1.1153 0.3877 10.8316
O -2.9517 2.4286 9.8585
O 0.7791 -0.9494 8.9847
C 0.5185 6.6243 9.0378
Os 1.7613 1.4408 3.3381
O 3.9208 5.5637 3.4060
C 2.3976 4.7398 10.5306
C -0.4501 1.6402 7.9883
O 5.4480 4.1798 1.3266
C 0.9624 0.2985 4.6253
C -3.9892 6.0054 8.9078
O -2.0894 5.3734 6.6780
O -1.4245 1.0447 7.7791
C 0.1472 5.2823 3.6206
O 3.8478 3.8544 5.8391
C 4.5771 3.1817 9.4886
O 4.4077 -0.4095 9.8318
C -1.0262 5.2722 7.1358
O -1.3515 2.7540 5.3460
C 1.5369 1.7059 10.0231
Os 1.1800 2.5690 8.3745
C -1.1549 2.5342 4.2210
O 1.7172 7.5578 2.2003
O 3.6116 6.2207 0.3534
C 1.9778 -0.0159 2.1473
H 0.1487 3.9273 9.0653
C 3.6513 4.0742 6.9641
C 6.4856 0.6030 2.2773
Os 1.3164 4.0395 2.8106
C 0.0988 1.8686 0.6544
O 1.7739 1.2002 11.0425
Os -0.7867 2.1924 2.3474
H 2.3476 2.6811 2.1198
O 4.5857 1.2351 4.5071
C 3.5225 1.3362 4.0493
CELL_PARAMETERS angstrom
8.3225 -0.0039 0.0190
-4.0605 7.8781 -0.0125
-1.7656 -1.2658 11.1785
```

For reference, mass density by record: 6.70 3.86 Mg/m³.
For reference, magnetic moment by record: 0.0 0.0 μB/f.u..